First-principles (GGA-PBEsol) data for crystalline YNb2PIr at its relaxed geometry, as listed in Alexandria via LeMat-Bulk.

The density of states at the Fermi level is 5.224 states/eV/f.u. Its symmetry is P4/mmm. As for the volume: 24.185 A^3/atom. The calculation puts the formation energy at 666 meV per atom. The total energy comes out at -0.2995 Ha/atom. The total magnetization is 0.0 μB per cell.

a b c (Å): 4.7607 4.7607 5.3354
angles (deg): 90.00 90.00 90.00
Last column: nearest neighbours and their distance in Å.
Element x y z (fractional)
Y (0.0000, 0.0000, 0.0000)  2 Ir 2.67
Nb (0.0000, 0.5000, 0.5000)  2 Ir 2.38
Nb (0.5000, 0.0000, 0.5000)  2 Ir 2.38
P (0.5000, 0.5000, 0.0000)  4 Y 3.37, 8 Nb 3.58
Ir (0.0000, 0.0000, 0.5000)  4 Nb 2.38